# 1
First-principles (PBE) data for a geometry-optimized KNp2TiO8 structure, as listed in Alexandria via LeMat-Bulk.

The density of states at the Fermi level is 0.50 states/eV per atom. The value obtained for the final energy is -8.853 eV/atom. For the raw formation energy, the calculation gives -2.641 eV/atom.

It has space group C2/m (No. 12), with a = 7.227 Å, b = 6.818 Å, c = 7.002 Å, α = 90.00°, β = 92.20° and γ = 90.00°. The asymmetric unit holds K at (0.000, 0.000, 0.000), Np at (0.011, 0.500, 0.259), Ti at (0.000, 0.000, 0.500), O at (0.003, 0.204, 0.698), O at (0.162, 0.500, 0.967) and O at (0.204, 0.500, 0.492).

# 2
First-principles (PBE) data for a geometry-optimized CaMg3Fe structure, as listed in Alexandria via LeMat-Bulk.

The density of states at the Fermi level is 1.36 states/eV per atom. The value obtained for the final energy is -2.759 eV/atom. The energy of formation from the pure elements is 1.5 eV/f.u.

It has space group Pm-3m (No. 221), with a = 4.943 Å, b = 4.943 Å, c = 4.943 Å, α = 90.00°, β = 90.00° and γ = 90.00°. The asymmetric unit holds Ca at (0.000, 0.000, 0.000), Mg at (0.000, 0.500, 0.500) and Fe at (0.500, 0.500, 0.500).

# 3
First-principles (PBE) data for a geometry-optimized CaNb2NiN4 structure, as listed in Alexandria via LeMat-Bulk.

The density of states at the Fermi level is 0.31 states/eV per atom. The value obtained for the final energy is -8.477 eV/atom. For the raw formation energy, the calculation gives -0.824 eV/atom.

It has space group Cmcm (No. 63), with a = 3.152 Å, b = 10.673 Å, c = 10.866 Å, α = 90.00°, β = 90.00° and γ = 90.00°. The asymmetric unit holds Ca at (0.000, 0.106, 0.250), Nb at (0.000, 0.369, 0.055), Ni at (0.000, 0.162, 0.750), N at (0.000, 0.000, 0.000), N at (0.000, 0.272, 0.609) and N at (0.000, 0.442, 0.250).

# 4
First-principles (PBE) data for a geometry-optimized CoRuPb2 structure, as listed in Alexandria via LeMat-Bulk.

The density of states at the Fermi level is 1.13 states/eV per atom. The value obtained for the final energy is -5.549 eV/atom. The energy of formation from the pure elements is 1.6 eV/f.u.

It has space group Amm2 (No. 38), with a = 4.005 Å, b = 4.008 Å, c = 9.928 Å, α = 90.00°, β = 90.00° and γ = 90.00°. The asymmetric unit holds Co at (0.000, 0.000, 0.000), Ru at (0.500, 0.000, 0.125), Pb at (0.000, 0.000, 0.715) and Pb at (0.500, 0.000, 0.417).

# 5
First-principles (PBE) data for a geometry-optimized NiSe3 structure, as listed in Alexandria via LeMat-Bulk.

The density of states at the Fermi level is 0.78 states/eV per atom. The value obtained for the final energy is -3.856 eV/atom. For the raw formation energy, the calculation gives 0.203 eV/atom.

It has space group P4/mmm (No. 123), with a = 2.792 Å, b = 2.792 Å, c = 11.120 Å, α = 90.00°, β = 90.00° and γ = 90.00°. The asymmetric unit holds Ni at (0.000, 0.000, 0.000), Se at (0.000, 0.000, 0.500) and Se at (0.500, 0.500, 0.155).

# 6
First-principles (PBE) data for a geometry-optimized Ta2MnZn structure, as listed in Alexandria via LeMat-Bulk.

The density of states at the Fermi level is 0.94 states/eV per atom. The value obtained for the final energy is -8.461 eV/atom. The energy of formation from the pure elements is 0.3 eV/f.u.

It has space group Pm (No. 6), with a = 2.980 Å, b = 4.277 Å, c = 4.959 Å, α = 90.00°, β = 101.19° and γ = 90.00°. The asymmetric unit holds Ta at (0.000, 0.000, 0.000), Ta at (0.226, 0.500, 0.643), Mn at (0.619, 0.000, 0.512) and Zn at (0.570, 0.500, 0.183).

# 7
First-principles (PBE) data for a geometry-optimized CePuTeSe structure, as listed in Alexandria via LeMat-Bulk.

The density of states at the Fermi level is 2.23 states/eV per atom. The value obtained for the final energy is -7.985 eV/atom. For the raw formation energy, the calculation gives -1.262 eV/atom.

It has space group F-43m (No. 216), with a = 7.474 Å, b = 7.474 Å, c = 7.474 Å, α = 90.00°, β = 90.00° and γ = 90.00°. The asymmetric unit holds Ce at (0.000, 0.000, 0.000), Pu at (0.000, 0.000, 0.500), Te at (0.250, 0.250, 0.250) and Se at (0.250, 0.250, 0.750).

# 8
First-principles (PBE) data for a geometry-optimized LaPr4Dy3Se8 structure, as listed in Alexandria via LeMat-Bulk.

The density of states at the Fermi level is 0.58 states/eV per atom. The value obtained for the final energy is -5.933 eV/atom. For the raw formation energy, the calculation gives -1.825 eV/atom.

It has space group R-3m (No. 166, hexagonal axes), with a = 8.3556 Å, b = 8.3556 Å, c = 20.8568 Å, α = 90.00°, β = 90.00° and γ = 120.00°. The asymmetric unit holds La at (0.0000, 0.0000, 0.0000), Pr at (0.0000, 0.0000, 0.5000), Pr at (0.0000, 0.5000, 0.5000), Dy at (0.0000, 0.5000, 0.0000), Se at (0.0000, 0.0000, 0.2560) and Se at (0.0088, 0.5044, 0.2540).

# 9
First-principles (PBE) data for a geometry-optimized Li2FeHRh structure, as listed in Alexandria via LeMat-Bulk.

The density of states at the Fermi level is 0.54 states/eV per atom. The value obtained for the final energy is -4.602 eV/atom.

It has space group P4/mmm (No. 123), with a = 3.633 Å, b = 3.633 Å, c = 3.959 Å, α = 90.00°, β = 90.00° and γ = 90.00°. The asymmetric unit holds Li at (0.000, 0.500, 0.000), Fe at (0.000, 0.000, 0.500), H at (0.000, 0.000, 0.000) and Rh at (0.500, 0.500, 0.500).

# 10
First-principles (PBE) data for a geometry-optimized NaTl3Re2O8 structure, as listed in Alexandria via LeMat-Bulk.

The density of states at the Fermi level is 0.66 states/eV per atom. The value obtained for the final energy is -6.526 eV/atom. For the raw formation energy, the calculation gives -1.313 eV/atom.

It has space group P-3m1 (No. 164), with a = 6.2503 Å, b = 6.2503 Å, c = 7.9035 Å, α = 90.00°, β = 90.00° and γ = 120.00°. The asymmetric unit holds Na at (0.0000, 0.0000, 0.0000), Tl at (0.0000, 0.0000, 0.5000), Tl at (0.3333, 0.6667, 0.1657), Re at (0.3333, 0.6667, 0.7137), O at (0.1772, 0.3543, 0.7947) and O at (0.3333, 0.6667, 0.4865).

# 11
First-principles (PBE) data for a geometry-optimized Ac4TbPm5 structure, as listed in Alexandria via LeMat-Bulk.

The density of states at the Fermi level is 1.72 states/eV per atom. The value obtained for the final energy is -4.442 eV/atom. The energy of formation from the pure elements is 0.4 eV/f.u.

It has space group P4/mmm (No. 123), with a = 3.829 Å, b = 3.829 Å, c = 25.979 Å, α = 90.00°, β = 90.00° and γ = 90.00°. The asymmetric unit holds Ac at (0.000, 0.000, 0.102), Ac at (0.000, 0.000, 0.305), Tb at (0.000, 0.000, 0.500), Pm at (0.500, 0.500, 0.000), Pm at (0.500, 0.500, 0.203) and Pm at (0.500, 0.500, 0.408).

# 12
First-principles (PBE) data for a geometry-optimized MnCr2P structure, as listed in Alexandria via LeMat-Bulk.

The density of states at the Fermi level is 0.75 states/eV per atom. The value obtained for the final energy is -8.606 eV/atom. The energy of formation from the pure elements is -0.6 eV/f.u.

It has space group P4mm (No. 99), with a = 2.885 Å, b = 2.885 Å, c = 5.352 Å, α = 90.00°, β = 90.00° and γ = 90.00°. The asymmetric unit holds Mn at (0.000, 0.000, 0.000), Cr at (0.000, 0.000, 0.480), Cr at (0.500, 0.500, 0.710) and P at (0.500, 0.500, 0.220).